Entry 1:
CrPt2Se | PBE | relaxed

calculated total energy	-6.153	eV/atom
space group	Cmmm (65)
magnetic moment	4.03	μB per formula unit
crystal system	orthorhombic
formation energy from raw total energies	0.144	eV/atom

a = 4.742 Å, b = 4.742 Å, c = 3.017 Å
α = 90.00°, β = 90.00°, γ = 106.93°
Positions (direct):
Cr (0.000, 0.000, 0.000)
Pt (0.000, 0.500, 0.500)
Pt (0.500, 0.000, 0.500)
Se (0.500, 0.500, 0.000)



Entry 2:
Be2MoAu | PBE | relaxed

excess energy over the best structure of this formula in the dataset	0.0385	eV/atom
calculated total energy	-5.347	eV/atom
space group	P2/m (10)
magnetic moment	0.00	μB per formula unit
crystal system	monoclinic
E_form	0.17	eV/f.u.

a = 2.733 Å, b = 3.625 Å, c = 5.305 Å
α = 90.00°, β = 90.11°, γ = 90.00°
Positions (direct):
Be (0.002, 0.000, 0.203)
Be (0.998, 0.000, 0.797)
Mo (0.500, 0.500, 0.000)
Au (0.000, 0.500, 0.500)